Record 1
Li5Pb: relaxed, GGA-PBEsol.

Unit cell a=7.532 b=7.532 c=7.532 alpha=90.00 beta=90.00 gamma=90.00
Space group F-43m (No. 216)
Asymmetric unit:
Li: 0.000 0.000 0.000 x4
Li: 0.124 0.124 0.376 x16
Pb: 0.250 0.250 0.750 x4

Summary:
E above lowest polymorph: 8.5 kJ/mol of atoms

***

Record 2
Zn2CuWO6: relaxed, GGA-PBEsol.

Unit cell a=4.960 b=5.065 c=9.679 alpha=90.00 beta=119.94 gamma=90.00
Space group P2_1/c (No. 14)
Asymmetric unit:
Zn: 0.245 0.028 0.236 x4
Cu: 0.000 0.000 0.500 x2
W: 0.500 0.000 0.000 x2
O: 0.160 0.114 0.797 x4
O: 0.225 0.690 0.546 x4
O: 0.420 0.197 0.602 x4

Summary:
E above lowest polymorph: 1.7 kJ/mol of atoms
E_form (uncorrected): -1.449 eV/atom

***

Record 3
SiBi2MoPd: relaxed, GGA-PBEsol.

Unit cell a=5.322 b=5.322 c=4.407 alpha=90.00 beta=90.00 gamma=90.00
Space group P4/mmm (No. 123)
Asymmetric unit:
Si: 0.000 0.000 0.000 x1
Bi: 0.000 0.500 0.000 x2
Mo: 0.500 0.500 0.500 x1
Pd: 0.000 0.000 0.500 x1

Summary:
E_form (uncorrected): 1.062 eV/atom

***

Record 4
Rb2SiP4O13: relaxed, GGA-PBEsol.

Unit cell a=4.881 b=7.771 c=15.132 alpha=84.39 beta=83.68 gamma=81.85
Space group P-1 (No. 2)
Asymmetric unit:
Rb: 0.179 0.245 0.489 x2
Rb: 0.225 0.187 0.972 x2
Si: 0.043 0.436 0.241 x2
P: 0.176 0.909 0.692 x2
P: 0.180 0.814 0.211 x2
P: 0.397 0.717 0.850 x2
P: 0.479 0.586 0.337 x2
O: 0.016 0.099 0.709 x2
O: 0.039 0.219 0.290 x2
O: 0.048 0.655 0.193 x2
O: 0.209 0.486 0.671 x2
O: 0.221 0.579 0.828 x2
O: 0.231 0.936 0.132 x2
O: 0.294 0.361 0.155 x2
O: 0.305 0.793 0.937 x2
O: 0.307 0.450 0.311 x2
O: 0.321 0.922 0.601 x2
O: 0.377 0.871 0.769 x2
O: 0.379 0.653 0.425 x2
O: 0.456 0.744 0.257 x2

Summary:
E_form (uncorrected): -2.322 eV/atom

***

Record 5
Li2NbS3: relaxed, GGA-PBEsol.

Unit cell a=6.162 b=10.570 c=12.265 alpha=90.00 beta=101.07 gamma=90.00
Space group C2/c (No. 15)
Asymmetric unit:
Li: 0.000 0.084 0.250 x4
Li: 0.226 0.090 0.002 x8
Li: 0.250 0.250 0.500 x4
Nb: 0.000 0.276 0.750 x4
Nb: 0.000 0.443 0.250 x4
S: 0.119 0.417 0.618 x8
S: 0.136 0.091 0.635 x8
S: 0.137 0.259 0.135 x8

Summary:
E above lowest polymorph: 0.0 kJ/mol of atoms
E_form (uncorrected): -1.192 eV/atom

***

Record 6
Mn2AuF: relaxed, GGA-PBEsol.

Unit cell a=6.161 b=6.161 c=6.161 alpha=90.00 beta=90.00 gamma=90.00
Space group Fm-3m (No. 225)
Asymmetric unit:
Mn: 0.250 0.250 0.250 x8
Au: 0.000 0.000 0.000 x4
F: 0.000 0.000 0.500 x4

Summary:
E_form (uncorrected): -0.087 eV/atom

***

Record 7
Mo2SeCl: relaxed, GGA-PBEsol.

Unit cell a=3.391 b=3.391 c=6.738 alpha=90.00 beta=90.00 gamma=90.00
Space group P4mm (No. 99)
Asymmetric unit:
Mo: 0.000 0.000 0.000 x1
Mo: 0.500 0.500 0.166 x1
Se: 0.000 0.000 0.363 x1
Cl: 0.500 0.500 0.800 x1

Summary:
E above lowest polymorph: 0.0 kJ/mol of atoms
E_form (uncorrected): 0.046 eV/atom

***

Record 8
NiRh2: relaxed, GGA-PBEsol.

Unit cell a=2.652 b=3.639 c=7.786 alpha=90.00 beta=90.00 gamma=90.00
Space group Immm (No. 71)
Asymmetric unit:
Ni: 0.000 0.000 0.000 x2
Rh: 0.000 0.000 0.335 x4

Summary:
E above lowest polymorph: 0.0 kJ/mol of atoms

***

Record 9
NbO2F: relaxed, GGA-PBEsol.

Unit cell a=3.963 b=7.729 c=8.071 alpha=90.00 beta=90.00 gamma=90.00
Space group Amm2 (No. 38)
Asymmetric unit:
Nb: 0.000 0.000 0.000 x2
Nb: 0.000 0.000 0.475 x2
O: 0.000 0.000 0.249 x2
O: 0.000 0.245 0.505 x4
O: 0.500 0.000 0.992 x2
F: 0.000 0.000 0.746 x2
F: 0.500 0.000 0.512 x2

Summary:
E_form (uncorrected): -2.624 eV/atom

***

Record 10
MgInSn3: relaxed, GGA-PBEsol.

Unit cell a=5.351 b=5.351 c=5.351 alpha=90.00 beta=90.00 gamma=90.00
Space group Pm-3m (No. 221)
Asymmetric unit:
Mg: 0.000 0.000 0.000 x1
In: 0.500 0.500 0.500 x1
Sn: 0.000 0.000 0.500 x3

***

Record 11
NaZrCuS3: relaxed, GGA-PBEsol.

Unit cell a=3.657 b=12.844 c=9.652 alpha=90.00 beta=90.00 gamma=90.00
Space group Cmcm (No. 63)
Asymmetric unit:
Na: 0.000 0.248 0.250 x4
Zr: 0.000 0.000 0.000 x4
Cu: 0.000 0.469 0.750 x4
S: 0.000 0.078 0.750 x4
S: 0.000 0.367 0.559 x8

Summary:
E_form (uncorrected): -1.247 eV/atom

***

Record 12
Ca2AlAg2: relaxed, GGA-PBEsol.

Unit cell a=7.371 b=7.371 c=4.271 alpha=90.00 beta=90.00 gamma=90.00
Space group P4/mbm (No. 127)
Asymmetric unit:
Ca: 0.175 0.325 0.000 x4
Al: 0.000 0.000 0.500 x2
Ag: 0.133 0.633 0.500 x4

***

Record 13
KNa5TeO6: relaxed, GGA-PBEsol.

Unit cell a=6.440 b=11.634 c=11.140 alpha=90.00 beta=91.61 gamma=90.00
Space group C2/c (No. 15)
Asymmetric unit:
K: 0.000 0.173 0.250 x4
Na: 0.000 0.000 0.000 x4
Na: 0.000 0.362 0.750 x4
Na: 0.214 0.429 0.258 x8
Na: 0.250 0.250 0.000 x4
Te: 0.000 0.500 0.000 x4
O: 0.008 0.362 0.102 x8
O: 0.216 0.428 0.899 x8
O: 0.219 0.436 0.606 x8

Summary:
E_form (uncorrected): -1.379 eV/atom

***

Record 14
Al2ReSb: relaxed, GGA-PBEsol.

Unit cell a=4.455 b=4.455 c=3.334 alpha=90.00 beta=90.00 gamma=90.00
Space group P4/mmm (No. 123)
Asymmetric unit:
Al: 0.000 0.500 0.000 x2
Re: 0.000 0.000 0.500 x1
Sb: 0.500 0.500 0.500 x1

Summary:
E_form (uncorrected): 0.339 eV/atom

***

Record 15
VZnBiO5: relaxed, GGA-PBEsol.

Unit cell a=5.269 b=11.598 c=7.895 alpha=90.00 beta=112.74 gamma=90.00
Space group P2_1/c (No. 14)
Asymmetric unit:
V: 0.181 0.148 0.468 x4
Zn: 0.451 0.581 0.328 x4
Bi: 0.067 0.597 0.680 x4
O: 0.160 0.676 0.140 x4
O: 0.239 0.526 0.483 x4
O: 0.242 0.074 0.669 x4
O: 0.296 0.068 0.326 x4
O: 0.320 0.215 0.010 x4

Summary:
E above lowest polymorph: 0.0 kJ/mol of atoms
E_form (uncorrected): -1.822 eV/atom

***

Record 16
Ag2Bi2Sb: relaxed, GGA-PBEsol.

Unit cell a=3.873 b=3.873 c=16.707 alpha=90.00 beta=90.00 gamma=90.00
Space group I4/mmm (No. 139)
Asymmetric unit:
Ag: 0.000 0.500 0.250 x4
Bi: 0.000 0.000 0.109 x4
Sb: 0.000 0.000 0.500 x2

Summary:
E_form (uncorrected): 0.159 eV/atom

***

Record 17
YRu2Se: relaxed, GGA-PBEsol.

Unit cell a=3.069 b=3.069 c=7.154 alpha=90.00 beta=90.00 gamma=90.00
Space group P4mm (No. 99)
Asymmetric unit:
Y: 0.000 0.000 0.000 x1
Ru: 0.000 0.000 0.507 x1
Ru: 0.500 0.500 0.717 x1
Se: 0.500 0.500 0.285 x1

Summary:
E_form (uncorrected): -0.097 eV/atom

***

Record 18
Sr2PtBr: relaxed, GGA-PBEsol.

Unit cell a=4.2646 b=4.2646 c=23.2659 alpha=90.00 beta=90.00 gamma=120.00
Space group R-3m (No. 166, hexagonal axes)
Asymmetric unit:
Sr: 0.0000 0.0000 0.2377 x6
Pt: 0.0000 0.0000 0.5000 x3
Br: 0.0000 0.0000 0.0000 x3

Summary:
E above lowest polymorph: 0.0 kJ/mol of atoms
E_form (uncorrected): -1.179 eV/atom

***

Record 19
Cd2NiRh: relaxed, GGA-PBEsol.

Unit cell a=6.265 b=6.265 c=6.265 alpha=90.00 beta=90.00 gamma=90.00
Space group F-43m (No. 216)
Asymmetric unit:
Cd: 0.000 0.000 0.000 x4
Cd: 0.250 0.250 0.250 x4
Ni: 0.250 0.250 0.750 x4
Rh: 0.000 0.000 0.500 x4

***

Record 20
Na4Ca2SiP4: relaxed, GGA-PBEsol.

Unit cell a=9.099 b=15.668 c=6.909 alpha=90.00 beta=92.28 gamma=90.00
Space group Cc (No. 9)
Asymmetric unit:
Na: 0.000 0.072 0.000 x4
Na: 0.082 0.235 0.713 x4
Na: 0.083 0.425 0.550 x4
Na: 0.296 0.355 0.026 x4
Ca: 0.001 0.262 0.213 x4
Ca: 0.287 0.024 0.708 x4
Si: 0.295 0.166 0.325 x4
P: 0.086 0.097 0.412 x4
P: 0.287 0.302 0.428 x4
P: 0.295 0.161 0.994 x4
P: 0.494 0.095 0.449 x4

Summary:
E_form (uncorrected): -0.690 eV/atom

***

Record 21
BiPCl: relaxed, GGA-PBEsol.

Unit cell a=9.485 b=4.189 c=7.977 alpha=90.00 beta=96.20 gamma=90.00
Space group C2/m (No. 12)
Asymmetric unit:
Bi: 0.174 0.000 0.269 x4
P: 0.108 0.500 0.470 x4
Cl: 0.129 0.000 0.844 x4

Summary:
E_form (uncorrected): -0.409 eV/atom

***

no.,total energy (eV per atom),total magnetic moment (μB/f.u.)
1,-2.47,0.9
2,-6.73,1.0
3,-5.35,3.6
4,-7.28,0.0
5,-5.84,0.0
6,-6.43,8.5
7,-7.30,0.0
8,-7.44,0.0
9,-8.44,0.0
10,-3.06,0.0
11,-5.91,0.0
12,-3.24,0.0
13,-4.70,0.0
14,-6.18,0.0
15,-7.04,0.0
16,-3.79,0.0
17,-7.85,0.0
18,-4.31,0.0
19,-4.06,0.0
20,-4.21,0.0
21,-4.44,0.0